No. 1
A plane-wave DFT calculation with PBE-GGA was carried out for Na3TlAg8 after structural relaxation.

## Properties
- D(E_F): 0.394 states/eV/atom
- Space group: No. 160
- VASP energy: -2.47 eV/atom
- Energy of formation: -0.045 eV/atom

a b c (Å): 9.8265 9.8265 9.8265
angles (deg): 33.59 33.59 33.59
Last column: nearest neighbours and their distance in Å.
Element x y z (fractional)
Na1 0.0000 0.0000 0.0000  12 Ag 3.31-3.35, 3 Tl 3.46, 1 Na 3.50
Na2 0.1260 0.1260 0.1260  12 Ag 3.32-3.33, 4 Na 3.49-3.50
Na3 0.5021 0.5021 0.5021  12 Ag 3.31-3.35, 1 Tl 3.46, 3 Na 3.49
Tl1 0.6267 0.6267 0.6267  12 Ag 3.32-3.34, 4 Na 3.46
Ag1 0.0633 0.0633 0.5634  6 Ag 2.83-2.84
Ag2 0.0633 0.5634 0.0633  6 Ag 2.83-2.84
Ag3 0.0638 0.5636 0.5636  6 Ag 2.84
Ag4 0.3136 0.3136 0.3136  6 Ag 2.84
Ag5 0.5634 0.0633 0.0633  6 Ag 2.83-2.84
Ag6 0.5636 0.0638 0.5636  6 Ag 2.84
Ag7 0.5636 0.5636 0.0638  6 Ag 2.84
Ag8 0.8136 0.8136 0.8136  6 Ag 2.83-2.84

***

No. 2
A plane-wave DFT calculation with PBE-GGA was carried out for Fe2HgN after structural relaxation.

## Properties
- D(E_F): 1.246 states/eV/atom
- Formation energy (no corrections): 1.269 eV per atom
- Space group: No. 225
- Relative energy among the computed polymorphs: 0.973 eV/atom
- VASP energy: -5.12 eV/atom

a b c (Å): 4.2608 4.2608 4.2608
angles (deg): 60.00 60.00 60.00
Last column: nearest neighbours and their distance in Å.
Element x y z (fractional)
Fe1 0.2500 0.2500 0.2500  4 Hg 2.61, 4 N 2.61
Fe2 0.7500 0.7500 0.7500  4 Hg 2.61, 4 N 2.61
Hg1 0.0000 0.0000 0.0000  8 Fe 2.61
N1 0.5000 0.5000 0.5000  8 Fe 2.61

***

No. 3
A plane-wave DFT calculation with PBE-GGA was carried out for PRu after structural relaxation.

## Properties
- D(E_F): 0.284 states/eV/atom
- Space group: No. 8
- Relative energy among the computed polymorphs: 0.120 eV/atom
- VASP energy: -7.78 eV/atom
- Energy of formation: -0.441 eV/atom

a b c (Å): 6.0582 6.0582 5.7422
angles (deg): 116.37 116.37 27.68
Last column: nearest neighbours and their distance in Å.
Element x y z (fractional)
P1 0.0000 0.0000 0.0000  5 Ru 2.28-2.38
P2 0.1282 0.1282 0.5854  6 Ru 2.36-2.45
P3 0.3263 0.3263 0.2455  5 Ru 2.31-2.47
Ru1 0.4918 0.4918 0.6661  5 P 2.31-2.37
Ru2 0.6658 0.6658 0.2845  6 P 2.38-2.47
Ru3 0.7889 0.7889 0.8990  5 P 2.28-2.41

***

No. 4
A plane-wave DFT calculation with PBE-GGA was carried out for HfZn after structural relaxation.

## Properties
- D(E_F): 1.227 states/eV/atom
- Space group: No. 136
- VASP energy: -5.37 eV/atom
- Energy of formation: 0.243 eV/atom

a b c (Å): 5.3421 5.3421 5.5319
angles (deg): 90.00 90.00 90.00
Last column: nearest neighbours and their distance in Å.
Element x y z (fractional)
Hf1 0.1933 0.1933 0.0000  6 Zn 2.71-2.79, 1 Hf 2.92
Hf2 0.3067 0.6933 0.5000  6 Zn 2.71-2.79, 1 Hf 2.92
Hf3 0.6933 0.3067 0.5000  6 Zn 2.71-2.79, 1 Hf 2.92
Hf4 0.8067 0.8067 0.0000  6 Zn 2.71-2.79, 1 Hf 2.92
Zn1 0.1857 0.1857 0.5000  6 Hf 2.71-2.79, 1 Zn 2.81
Zn2 0.3143 0.6857 0.0000  6 Hf 2.71-2.79, 1 Zn 2.81
Zn3 0.6857 0.3143 0.0000  6 Hf 2.71-2.79, 1 Zn 2.81
Zn4 0.8143 0.8143 0.5000  6 Hf 2.71-2.79, 1 Zn 2.81

***

No. 5
A plane-wave DFT calculation with PBE-GGA was carried out for Ce6SnAu5 after structural relaxation.

## Properties
- D(E_F): 2.693 states/eV/atom
- Space group: No. 10
- VASP energy: -5.27 eV/atom
- Energy of formation: -0.603 eV/atom

a b c (Å): 5.3602 7.4790 7.7243
angles (deg): 90.00 106.73 90.00
Last column: nearest neighbours and their distance in Å.
Element x y z (fractional)
Ce1 0.0000 0.2438 0.0000  6 Au 3.11-3.24, 2 Sn 3.29, 2 Ce 3.36
Ce2 0.0000 0.7562 0.0000  6 Au 3.11-3.24, 2 Sn 3.29, 2 Ce 3.36
Ce3 0.2448 0.2471 0.6453  1 Ce 2.92, 5 Au 3.10-3.26
Ce4 0.2448 0.7529 0.6453  1 Ce 2.92, 5 Au 3.10-3.26
Ce5 0.7552 0.2471 0.3547  1 Ce 2.92, 5 Au 3.10-3.26
Ce6 0.7552 0.7529 0.3547  1 Ce 2.92, 5 Au 3.10-3.26
Sn1 0.5000 0.5000 0.0000  2 Au 3.14, 8 Ce 3.29
Au1 0.2636 0.0000 0.3279  8 Ce 3.10-3.35, 2 Au 3.10-3.14
Au2 0.2639 0.5000 0.3276  1 Au 3.10, 8 Ce 3.12-3.37, 1 Sn 3.14
Au3 0.5000 0.0000 0.0000  2 Au 3.14, 8 Ce 3.24-3.26
Au4 0.7364 0.0000 0.6721  8 Ce 3.10-3.35, 2 Au 3.10-3.14
Au5 0.7361 0.5000 0.6724  1 Au 3.10, 8 Ce 3.12-3.37, 1 Sn 3.14

***

No. 6
A plane-wave DFT calculation with PBE-GGA was carried out for Tb4Y3ScSe8 after structural relaxation.

## Properties
- D(E_F): 0.713 states/eV/atom
- Formation energy (no corrections): -1.736 eV per atom
- Space group: No. 166
- VASP energy: -6.24 eV/atom

a b c (Å): 8.1419 8.1419 8.1419
angles (deg): 59.95 59.95 59.95
Last column: nearest neighbours and their distance in Å.
Element x y z (fractional)
Tb1 0.0000 0.0000 0.0000  6 Se 2.94
Tb2 0.0000 0.5000 0.5000  6 Se 2.88
Tb3 0.5000 0.0000 0.5000  6 Se 2.88
Tb4 0.5000 0.5000 0.0000  6 Se 2.88
Y1 0.0000 0.0000 0.5000  6 Se 2.87
Y2 0.0000 0.5000 0.0000  6 Se 2.87
Y3 0.5000 0.0000 0.0000  6 Se 2.87
Sc1 0.5000 0.5000 0.5000  6 Se 2.81
Se1 0.2497 0.2497 0.2497  3 Y 2.87, 3 Tb 2.88
Se2 0.2552 0.7442 0.7442  1 Sc 2.81, 2 Y 2.87, 3 Tb 2.88-2.94
Se3 0.2558 0.2558 0.7448  1 Sc 2.81, 2 Y 2.87, 3 Tb 2.88-2.94
Se4 0.2558 0.7448 0.2558  1 Sc 2.81, 2 Y 2.87, 3 Tb 2.88-2.94
Se5 0.7442 0.2552 0.7442  1 Sc 2.81, 2 Y 2.87, 3 Tb 2.88-2.94
Se6 0.7442 0.7442 0.2552  1 Sc 2.81, 2 Y 2.87, 3 Tb 2.88-2.94
Se7 0.7448 0.2558 0.2558  1 Sc 2.81, 2 Y 2.87, 3 Tb 2.88-2.94
Se8 0.7503 0.7503 0.7503  3 Y 2.87, 3 Tb 2.88

***

No. 7
A plane-wave DFT calculation with PBE-GGA was carried out for Ho3Si4Au7 after structural relaxation.

## Properties
- D(E_F): 0.380 states/eV/atom
- Formation energy (no corrections): -0.579 eV per atom
- Space group: No. 12
- VASP energy: -4.75 eV/atom

a b c (Å): 8.2399 8.2399 9.5111
angles (deg): 124.29 124.29 30.25
Last column: nearest neighbours and their distance in Å.
Element x y z (fractional)
Ho1 0.0000 0.0000 0.0000  6 Si 3.07-3.22, 2 Au 3.20
Ho2 0.3139 0.3139 0.3152  4 Si 3.07-3.11, 10 Au 3.08-3.38
Ho3 0.6861 0.6861 0.6848  4 Si 3.07-3.11, 10 Au 3.08-3.38
Si1 0.1197 0.1197 0.8380  6 Au 2.61-2.69
Si2 0.3362 0.3362 0.7229  5 Au 2.47-2.64
Si3 0.6638 0.6638 0.2771  5 Au 2.47-2.64
Si4 0.8803 0.8803 0.1620  6 Au 2.61-2.69
Au1 0.0000 0.0000 0.5000  2 Si 2.61
Au2 0.1574 0.1574 0.4132  3 Si 2.54-2.64
Au3 0.3166 0.3166 0.9622  4 Si 2.47-2.65
Au4 0.4941 0.4941 0.7112  3 Si 2.58-2.69, 1 Au 2.79
Au5 0.5059 0.5059 0.2888  3 Si 2.58-2.69, 1 Au 2.79
Au6 0.6834 0.6834 0.0378  4 Si 2.47-2.65
Au7 0.8426 0.8426 0.5868  3 Si 2.54-2.64

***

No. 8
A plane-wave DFT calculation with PBE-GGA was carried out for LiAcHgPd after structural relaxation.

## Properties
- D(E_F): 0.543 states/eV/atom
- Space group: No. 8
- Relative energy among the computed polymorphs: 0.000 eV/atom
- VASP energy: -3.42 eV/atom
- Energy of formation: -0.545 eV/atom

a b c (Å): 4.5870 4.5870 5.9790
angles (deg): 112.36 112.36 60.10
Last column: nearest neighbours and their distance in Å.
Element x y z (fractional)
Li1 0.0000 0.0000 0.0000  3 Pd 2.70, 3 Hg 2.79
Ac1 0.4850 0.4850 0.4525  4 Pd 3.24-3.48, 4 Hg 3.31-3.36, 3 Li 3.59-3.60
Hg1 0.2793 0.2793 0.8366  3 Li 2.79, 3 Pd 3.00-3.01
Pd1 0.6995 0.6995 0.1002  3 Li 2.70, 3 Hg 3.00-3.01

***

No. 9
A plane-wave DFT calculation with PBE-GGA was carried out for KLaRu2 after structural relaxation.

## Properties
- D(E_F): 1.250 states/eV/atom
- Space group: No. 123
- Relative energy among the computed polymorphs: 0.659 eV/atom
- VASP energy: -5.20 eV/atom
- Energy of formation: 0.945 eV/atom

a b c (Å): 4.3843 4.3843 4.5168
angles (deg): 90.00 90.00 90.00
Last column: nearest neighbours and their distance in Å.
Element x y z (fractional)
K1 0.0000 0.0000 0.0000  4 La 3.10, 8 Ru 3.15
La1 0.5000 0.5000 0.0000  4 K 3.10, 8 Ru 3.15
Ru1 0.0000 0.5000 0.5000  4 Ru 3.10, 4 La 3.15, 4 K 3.15
Ru2 0.5000 0.0000 0.5000  4 Ru 3.10, 4 La 3.15, 4 K 3.15

***

No. 10
A plane-wave DFT calculation with PBE-GGA was carried out for Be2TlZn2 after structural relaxation.

## Properties
- D(E_F): 0.439 states/eV/atom
- Space group: No. 139
- Relative energy among the computed polymorphs: 0.000 eV/atom
- VASP energy: -2.04 eV/atom
- Energy of formation: 0.433 eV/atom

a b c (Å): 6.4526 6.4526 6.4526
angles (deg): 146.88 146.88 47.55
Last column: nearest neighbours and their distance in Å.
Element x y z (fractional)
Be1 0.2500 0.7500 0.5000  4 Zn 2.40, 4 Be 2.60
Be2 0.7500 0.2500 0.5000  4 Zn 2.40, 4 Be 2.60
Tl1 0.0000 0.0000 0.0000  8 Zn 2.96
Zn1 0.3801 0.3801 0.0000  4 Be 2.40
Zn2 0.6199 0.6199 0.0000  4 Be 2.40

***

No. 11
A plane-wave DFT calculation with PBE-GGA was carried out for K2OsO6 after structural relaxation.

## Properties
- D(E_F): 0.797 states/eV/atom
- Formation energy (no corrections): -0.885 eV per atom
- Space group: No. 87
- Relative energy among the computed polymorphs: 0.000 eV/atom
- VASP energy: -5.68 eV/atom

a b c (Å): 6.3166 6.3166 6.3166
angles (deg): 122.15 122.15 86.32
Last column: nearest neighbours and their distance in Å.
Element x y z (fractional)
K1 0.2500 0.7500 0.5000  8 O 2.81-3.09
K2 0.7500 0.2500 0.5000  8 O 2.81-3.09
Os1 0.0000 0.0000 0.0000  6 O 1.85-1.86
O1 0.1324 0.7262 0.8585  1 Os 1.86
O2 0.2013 0.2013 0.0000  1 Os 1.85
O3 0.2738 0.1324 0.4062  1 Os 1.86
O4 0.7262 0.8676 0.5938  1 Os 1.86
O5 0.7987 0.7987 0.0000  1 Os 1.85
O6 0.8676 0.2738 0.1415  1 Os 1.86

***

No. 12
A plane-wave DFT calculation with PBE-GGA was carried out for LaNiAg3 after structural relaxation.

## Properties
- D(E_F): 0.714 states/eV/atom
- Space group: No. 221
- VASP energy: -3.69 eV/atom
- Energy of formation: 0.159 eV/atom

a b c (Å): 4.8751 4.8751 4.8751
angles (deg): 90.00 90.00 90.00
Last column: nearest neighbours and their distance in Å.
Element x y z (fractional)
La1 0.0000 0.0000 0.0000  12 Ag 3.45
Ni1 0.5000 0.5000 0.5000  6 Ag 2.44
Ag1 0.0000 0.5000 0.5000  2 Ni 2.44
Ag2 0.5000 0.0000 0.5000  2 Ni 2.44
Ag3 0.5000 0.5000 0.0000  2 Ni 2.44